Run 1
The following is a DFT calculation (GGA-PBE) of a relaxed structure of Tb7YSc3.

Lattice parameters (Å, degrees): 6.9682 6.9682 8.2624 90.00 90.00 120.00
Space group P3m1 (No. 156)
Asymmetric unit:
Tb1 0.0000 0.0000 0.0000 x1
Tb2 0.0017 0.5009 0.0159 x3
Tb3 0.3310 0.1655 0.6571 x3
Y1 0.3333 0.6667 0.6713 x1
Sc1 0.1665 0.3330 0.3359 x3

As for the volume: 347.4 Å³/cell.

Run 2
The following is a DFT calculation (GGA-PBE) of a relaxed structure of Tb7YSc3.

Lattice parameters (Å, degrees): 6.7684 18.0015 10.9953 90.00 90.49 90.00
Space group C2/m (No. 12)
Asymmetric unit:
Tb1 0.2451 0.0000 0.2496 x4
Tb2 0.2465 0.4092 0.2501 x8
Tb3 0.2475 0.3371 0.5368 x8
Tb4 0.2485 0.1629 0.0368 x8
Y1 0.0000 0.0000 0.5000 x2
Y2 0.0000 0.5000 0.0000 x2
Sc1 0.0000 0.0000 0.0000 x2
Sc2 0.0000 0.5000 0.5000 x2
Sc3 0.0011 0.2490 0.7498 x8

As for the volume: 1339.6 Å³/cell.

Which structure above is the least stable one? run 1 is the least stable one.